The following is a PBE calculation of a relaxed structure of TbPm3Sm7, from the Alexandria database.

Lattice parameters (Å, degrees): 8.552 8.552 8.552 139.39 97.04 96.80
Positions (direct):
1 Tb 0.000 0.000 0.000
2 Pm 0.291 0.500 0.791
3 Pm 0.500 0.000 0.500
4 Pm 0.709 0.500 0.209
5 Sm 0.000 0.500 0.500
6 Sm 0.097 0.800 0.297
7 Sm 0.292 0.292 0.000
8 Sm 0.497 0.200 0.297
9 Sm 0.503 0.800 0.703
10 Sm 0.708 0.708 0.000
11 Sm 0.903 0.200 0.703

Output
- E: -4.481 eV per atom
- Polymorph energy (0 for the lowest one): 0.91 kJ per mole of atoms
- Formation enthalpy at 0 K: 0.2389 eV per atom

The following is a PBE calculation of a relaxed structure of La2YMo, from the Alexandria database.

Lattice parameters (Å, degrees): 3.305 4.850 6.811 90.00 90.00 90.00
Positions (direct):
1 La 0.000 0.000 0.000
2 La 0.500 0.500 0.277
3 Y 0.500 0.500 0.719
4 Mo 0.000 0.000 0.524

Output
- E: -6.339 eV per atom
- Polymorph energy (0 for the lowest one): 14.74 kJ per mole of atoms
- Formation enthalpy at 0 K: 0.4486 eV per atom

The following is a PBE calculation of a relaxed structure of NaAlPb, from the Alexandria database.

Lattice parameters (Å, degrees): 6.429 4.700 9.976 90.00 90.00 90.00
Positions (direct):
1 Na 0.130 0.250 0.080
2 Na 0.370 0.750 0.580
3 Na 0.630 0.250 0.420
4 Na 0.870 0.750 0.920
5 Al 0.100 0.250 0.730
6 Al 0.400 0.750 0.230
7 Al 0.600 0.250 0.770
8 Al 0.900 0.750 0.270
9 Pb 0.134 0.250 0.405
10 Pb 0.366 0.750 0.905
11 Pb 0.634 0.250 0.095
12 Pb 0.866 0.750 0.595

Output
- E: -2.841 eV per atom
- Formation enthalpy at 0 K: 0.0825 eV per atom

What is the formation enthalpy at 0 K in the second record? 0.4486 eV per atom

The highest E belongs to which entry? NaAlPb